VASP calculation (PBE) on Er2Se after structural relaxation.

Total energy   -3.439 eV per atom
Crystal system   cubic
Size of the total moment   4.2 μB per formula unit

Cell: 8.784 8.784 8.784 Å, 60.00 60.00 60.00°
Atoms (fractional coordinates):
Er: 0.000 0.000 0.000
Er: 0.000 0.000 0.500
Er: 0.000 0.500 0.000
Er: 0.500 0.000 0.000
Se: 0.125 0.125 0.125
Se: 0.875 0.875 0.875


VASP calculation (PBE) on AcSmY after structural relaxation.

Excess energy over the best structure of this formula in the dataset   0 meV per atom
Crystal system   cubic
Size of the total moment   0.0 μB per formula unit

Cell: 8.038 8.038 8.038 Å, 90.00 90.00 90.00°
Atoms (fractional coordinates):
Ac: 0.000 0.000 0.000
Ac: 0.000 0.500 0.500
Ac: 0.500 0.000 0.500
Ac: 0.500 0.500 0.000
Sm: 0.250 0.250 0.250
Sm: 0.250 0.750 0.750
Sm: 0.750 0.250 0.750
Sm: 0.750 0.750 0.250
Y: 0.000 0.000 0.500
Y: 0.000 0.500 0.000
Y: 0.500 0.000 0.000
Y: 0.500 0.500 0.500


VASP calculation (PBE) on RbBaErTe3 after structural relaxation.

Excess energy over the best structure of this formula in the dataset   0 meV per atom
Crystal system   orthorhombic
Size of the total moment   0.0 μB per formula unit

Cell: 14.200 4.604 15.001 Å, 90.00 90.00 90.00°
Atoms (fractional coordinates):
Rb: 0.120 0.250 0.072
Rb: 0.380 0.750 0.572
Rb: 0.620 0.250 0.428
Rb: 0.880 0.750 0.928
Ba: 0.127 0.250 0.420
Ba: 0.373 0.750 0.920
Ba: 0.627 0.250 0.080
Ba: 0.873 0.750 0.580
Er: 0.102 0.250 0.744
Er: 0.398 0.750 0.244
Er: 0.602 0.250 0.756
Er: 0.898 0.750 0.256
Te: 0.105 0.750 0.255
Te: 0.123 0.750 0.601
Te: 0.133 0.750 0.876
Te: 0.367 0.250 0.376
Te: 0.377 0.250 0.101
Te: 0.395 0.250 0.755
Te: 0.605 0.750 0.245
Te: 0.623 0.750 0.899
Te: 0.633 0.750 0.624
Te: 0.867 0.250 0.124
Te: 0.877 0.250 0.399
Te: 0.895 0.250 0.745


VASP calculation (PBE) on DyTm6Fe2Te2 after structural relaxation.

Total energy   -5.434 eV per atom
Crystal system   orthorhombic
Size of the total moment   0.1 μB per formula unit

Cell: 9.185 9.185 9.185 Å, 156.17 66.37 119.09°
Atoms (fractional coordinates):
Dy: 0.000 0.000 0.000
Tm: 0.064 0.378 0.686
Tm: 0.081 0.730 0.351
Tm: 0.379 0.730 0.649
Tm: 0.447 0.581 0.866
Tm: 0.692 0.378 0.314
Tm: 0.715 0.581 0.134
Fe: 0.309 0.071 0.238
Fe: 0.833 0.071 0.762
Te: 0.336 0.336 0.000
Te: 0.733 0.233 0.500


VASP calculation (PBE) on CsHoPa after structural relaxation.

Excess energy over the best structure of this formula in the dataset   0 meV per atom
Crystal system   cubic
Size of the total moment   4.7 μB per formula unit

Cell: 8.302 8.302 8.302 Å, 90.00 90.00 90.00°
Atoms (fractional coordinates):
Cs: 0.000 0.000 0.000
Cs: 0.000 0.500 0.500
Cs: 0.500 0.000 0.500
Cs: 0.500 0.500 0.000
Ho: 0.250 0.250 0.750
Ho: 0.250 0.750 0.250
Ho: 0.750 0.250 0.250
Ho: 0.750 0.750 0.750
Pa: 0.000 0.000 0.500
Pa: 0.000 0.500 0.000
Pa: 0.500 0.000 0.000
Pa: 0.500 0.500 0.500


VASP calculation (PBE) on LiNb6Cl19 after structural relaxation.

Total energy   -5.079 eV per atom
Crystal system   orthorhombic
Size of the total moment   0.0 μB per formula unit

Cell: 28.256 6.810 6.476 Å, 90.00 90.00 90.00°
Atoms (fractional coordinates):
Li: 0.000 0.000 0.000
Li: 0.500 0.000 0.000
Nb: 0.106 0.287 0.159
Nb: 0.106 0.713 0.159
Nb: 0.190 0.500 0.286
Nb: 0.310 0.500 0.286
Nb: 0.394 0.287 0.159
Nb: 0.394 0.713 0.159
Nb: 0.606 0.287 0.841
Nb: 0.606 0.713 0.841
Nb: 0.690 0.500 0.714
Nb: 0.810 0.500 0.714
Nb: 0.894 0.287 0.841
Nb: 0.894 0.713 0.841
Cl: 0.051 0.500 0.339
Cl: 0.056 0.000 0.311
Cl: 0.056 0.254 0.862
Cl: 0.056 0.746 0.862
Cl: 0.151 0.246 0.481
Cl: 0.151 0.754 0.481
Cl: 0.154 0.000 0.016
Cl: 0.155 0.500 0.939
Cl: 0.250 0.262 0.139
Cl: 0.250 0.500 0.581
Cl: 0.250 0.738 0.139
Cl: 0.345 0.500 0.939
Cl: 0.346 0.000 0.016
Cl: 0.349 0.246 0.481
Cl: 0.349 0.754 0.481
Cl: 0.444 0.000 0.311
Cl: 0.444 0.254 0.862
Cl: 0.444 0.746 0.862
Cl: 0.449 0.500 0.339
Cl: 0.551 0.500 0.661
Cl: 0.556 0.000 0.689
Cl: 0.556 0.254 0.138
Cl: 0.556 0.746 0.138
Cl: 0.651 0.246 0.519
Cl: 0.651 0.754 0.519
Cl: 0.654 0.000 0.984
Cl: 0.655 0.500 0.061
Cl: 0.750 0.262 0.861
Cl: 0.750 0.500 0.419
Cl: 0.750 0.738 0.861
Cl: 0.845 0.500 0.061
Cl: 0.846 0.000 0.984
Cl: 0.849 0.246 0.519
Cl: 0.849 0.754 0.519
Cl: 0.944 0.000 0.689
Cl: 0.944 0.254 0.138
Cl: 0.944 0.746 0.138
Cl: 0.949 0.500 0.661


VASP calculation (PBE) on Y4ZnC3 after structural relaxation.

Total energy   -7.013 eV per atom
Crystal system   hexagonal
Size of the total moment   0.0 μB per formula unit

Cell: 3.613 3.613 26.882 Å, 90.00 90.00 120.00°
Atoms (fractional coordinates):
Y: 0.000 0.000 0.158
Y: 0.000 0.000 0.342
Y: 0.000 0.000 0.658
Y: 0.000 0.000 0.842
Y: 0.333 0.667 0.054
Y: 0.333 0.667 0.446
Y: 0.667 0.333 0.554
Y: 0.667 0.333 0.946
Zn: 0.333 0.667 0.250
Zn: 0.667 0.333 0.750
C: 0.000 0.000 0.000
C: 0.000 0.000 0.500
C: 0.333 0.667 0.616
C: 0.333 0.667 0.884
C: 0.667 0.333 0.116
C: 0.667 0.333 0.384


VASP calculation (PBE) on GdHoCS after structural relaxation.

Total energy   -6.884 eV per atom
Crystal system   hexagonal
Size of the total moment   0.0 μB per formula unit

Cell: 3.718 3.718 12.960 Å, 90.00 90.00 120.00°
Atoms (fractional coordinates):
Gd: 0.000 0.000 0.147
Gd: 0.000 0.000 0.853
Ho: 0.333 0.667 0.356
Ho: 0.333 0.667 0.644
C: 0.667 0.333 0.254
C: 0.667 0.333 0.746
S: 0.000 0.000 0.500
S: 0.333 0.667 0.000


VASP calculation (PBE) on Zr2Nb2Hg after structural relaxation.

Total energy   -6.790 eV per atom
Crystal system   tetragonal
Size of the total moment   0.0 μB per formula unit

Cell: 4.101 4.101 13.330 Å, 90.00 90.00 90.00°
Atoms (fractional coordinates):
Zr: 0.000 0.500 0.250
Zr: 0.000 0.500 0.750
Zr: 0.500 0.000 0.250
Zr: 0.500 0.000 0.750
Nb: 0.000 0.000 0.089
Nb: 0.000 0.000 0.911
Nb: 0.500 0.500 0.411
Nb: 0.500 0.500 0.589
Hg: 0.000 0.000 0.500
Hg: 0.500 0.500 0.000


VASP calculation (PBE) on Zr2BiB after structural relaxation.

Total energy   -7.515 eV per atom
Crystal system   hexagonal
Size of the total moment   0.0 μB per formula unit

Cell: 3.545 3.545 14.697 Å, 90.00 90.00 120.00°
Atoms (fractional coordinates):
Zr: 0.333 0.667 0.086
Zr: 0.333 0.667 0.414
Zr: 0.667 0.333 0.586
Zr: 0.667 0.333 0.914
Bi: 0.333 0.667 0.750
Bi: 0.667 0.333 0.250
B: 0.000 0.000 0.000
B: 0.000 0.000 0.500


VASP calculation (PBE) on Hf4CdInAs2 after structural relaxation.

Total energy   -7.040 eV per atom
Crystal system   hexagonal
Size of the total moment   0.0 μB per formula unit

Cell: 3.624 3.624 15.323 Å, 90.00 90.00 120.00°
Atoms (fractional coordinates):
Hf: 0.000 0.000 0.147
Hf: 0.000 0.000 0.853
Hf: 0.333 0.667 0.352
Hf: 0.333 0.667 0.648
Cd: 0.333 0.667 0.000
In: 0.000 0.000 0.500
As: 0.667 0.333 0.250
As: 0.667 0.333 0.750


VASP calculation (PBE) on NaSiTcTe after structural relaxation.

Excess energy over the best structure of this formula in the dataset   443 meV per atom
Crystal system   cubic
Size of the total moment   0.2 μB per formula unit

Cell: 6.629 6.629 6.629 Å, 90.00 90.00 90.00°
Atoms (fractional coordinates):
Na: 0.000 0.000 0.000
Na: 0.000 0.500 0.500
Na: 0.500 0.000 0.500
Na: 0.500 0.500 0.000
Si: 0.000 0.000 0.500
Si: 0.000 0.500 0.000
Si: 0.500 0.000 0.000
Si: 0.500 0.500 0.500
Tc: 0.250 0.250 0.750
Tc: 0.250 0.750 0.250
Tc: 0.750 0.250 0.250
Tc: 0.750 0.750 0.750
Te: 0.250 0.250 0.250
Te: 0.250 0.750 0.750
Te: 0.750 0.250 0.750
Te: 0.750 0.750 0.250


VASP calculation (PBE) on FeBi2Pd after structural relaxation.

Total energy   -4.919 eV per atom
Crystal system   cubic
Size of the total moment   3.1 μB per formula unit

Cell: 7.112 7.112 7.112 Å, 90.00 90.00 90.00°
Atoms (fractional coordinates):
Fe: 0.000 0.000 0.000
Fe: 0.000 0.500 0.500
Fe: 0.500 0.000 0.500
Fe: 0.500 0.500 0.000
Bi: 0.000 0.000 0.500
Bi: 0.000 0.500 0.000
Bi: 0.250 0.250 0.250
Bi: 0.250 0.750 0.750
Bi: 0.500 0.000 0.000
Bi: 0.500 0.500 0.500
Bi: 0.750 0.250 0.750
Bi: 0.750 0.750 0.250
Pd: 0.250 0.250 0.750
Pd: 0.250 0.750 0.250
Pd: 0.750 0.250 0.250
Pd: 0.750 0.750 0.750


VASP calculation (PBE) on GaCo2Ni after structural relaxation.

Total energy   -5.835 eV per atom
Crystal system   tetragonal
Size of the total moment   2.9 μB per formula unit

Cell: 3.593 3.593 7.108 Å, 90.00 90.00 90.00°
Atoms (fractional coordinates):
Ga: 0.000 0.000 0.000
Ga: 0.500 0.500 0.500
Co: 0.000 0.500 0.250
Co: 0.000 0.500 0.750
Co: 0.500 0.000 0.250
Co: 0.500 0.000 0.750
Ni: 0.000 0.000 0.500
Ni: 0.500 0.500 0.000


VASP calculation (PBE) on LaPr2PbC after structural relaxation.

Total energy   -5.873 eV per atom
Crystal system   tetragonal
Size of the total moment   0.0 μB per formula unit

Cell: 5.201 5.201 5.194 Å, 90.00 90.00 90.00°
Atoms (fractional coordinates):
La: 0.000 0.000 0.000
Pr: 0.000 0.500 0.500
Pr: 0.500 0.000 0.500
Pb: 0.500 0.500 0.000
C: 0.000 0.000 0.500


VASP calculation (PBE) on Tl3Ag3As2S6 after structural relaxation.

Total energy   -3.775 eV per atom
Crystal system   monoclinic

Cell: 11.307 12.036 12.077 Å, 90.00 120.12 90.00°
Atoms (fractional coordinates):
Tl: 0.163 0.250 0.226
Tl: 0.163 0.250 0.726
Tl: 0.198 0.514 0.476
Tl: 0.198 0.986 0.976
Tl: 0.215 0.615 0.113
Tl: 0.215 0.885 0.613
Tl: 0.785 0.115 0.387
Tl: 0.785 0.385 0.887
Tl: 0.802 0.014 0.024
Tl: 0.802 0.486 0.524
Tl: 0.837 0.750 0.274
Tl: 0.837 0.750 0.774
Ag: 0.116 0.153 0.427
Ag: 0.116 0.347 0.927
Ag: 0.466 0.627 0.046
Ag: 0.466 0.873 0.546
Ag: 0.469 0.642 0.426
Ag: 0.469 0.858 0.926
Ag: 0.531 0.142 0.074
Ag: 0.531 0.358 0.574
Ag: 0.534 0.127 0.454
Ag: 0.534 0.373 0.954
Ag: 0.884 0.653 0.073
Ag: 0.884 0.847 0.573
As: 0.159 0.599 0.756
As: 0.159 0.901 0.256
As: 0.495 0.143 0.744
As: 0.495 0.357 0.244
As: 0.505 0.643 0.756
As: 0.505 0.857 0.256
As: 0.841 0.099 0.744
As: 0.841 0.401 0.244
S: 0.005 0.679 0.562
S: 0.005 0.821 0.062
S: 0.007 0.532 0.812
S: 0.007 0.968 0.312
S: 0.254 0.746 0.891
S: 0.254 0.754 0.391
S: 0.365 0.083 0.537
S: 0.365 0.417 0.037
S: 0.380 0.074 0.841
S: 0.380 0.426 0.341
S: 0.425 0.177 0.216
S: 0.425 0.323 0.716
S: 0.575 0.677 0.284
S: 0.575 0.823 0.784
S: 0.620 0.574 0.659
S: 0.620 0.926 0.159
S: 0.635 0.583 0.963
S: 0.635 0.917 0.463
S: 0.746 0.246 0.609
S: 0.746 0.254 0.109
S: 0.993 0.032 0.688
S: 0.993 0.468 0.188
S: 0.995 0.179 0.938
S: 0.995 0.321 0.438


VASP calculation (PBE) on NdIr2 after structural relaxation.

Total energy   -8.191 eV per atom
Crystal system   cubic
Size of the total moment   0.0 μB per formula unit

Cell: 5.426 5.426 5.426 Å, 60.00 60.00 60.00°
Atoms (fractional coordinates):
Nd: 0.125 0.125 0.125
Nd: 0.875 0.875 0.875
Ir: 0.000 0.500 0.500
Ir: 0.500 0.000 0.500
Ir: 0.500 0.500 0.000
Ir: 0.500 0.500 0.500


VASP calculation (PBE) on W14C after structural relaxation.

Total energy   -11.752 eV per atom
Crystal system   trigonal
Size of the total moment   0.0 μB per formula unit

Cell: 6.565 6.565 6.565 Å, 74.66 74.66 74.66°
Atoms (fractional coordinates):
W: 0.138 0.138 0.138
W: 0.180 0.500 0.820
W: 0.180 0.820 0.500
W: 0.212 0.212 0.569
W: 0.212 0.569 0.212
W: 0.431 0.788 0.788
W: 0.500 0.180 0.820
W: 0.500 0.820 0.180
W: 0.569 0.212 0.212
W: 0.788 0.431 0.788
W: 0.788 0.788 0.431
W: 0.820 0.180 0.500
W: 0.820 0.500 0.180
W: 0.862 0.862 0.862
C: 0.000 0.000 0.000


VASP calculation (PBE) on RbTaAgTe2Se after structural relaxation.

Total energy   -4.641 eV per atom
Crystal system   orthorhombic
Size of the total moment   0.6 μB per formula unit

Cell: 8.452 8.452 10.556 Å, 90.00 90.00 152.37°
Atoms (fractional coordinates):
Rb: 0.249 0.751 0.750
Rb: 0.751 0.249 0.250
Ta: 0.000 0.000 0.000
Ta: 0.000 0.000 0.500
Ag: 0.458 0.542 0.250
Ag: 0.542 0.458 0.750
Te: 0.377 0.623 0.027
Te: 0.377 0.623 0.473
Te: 0.623 0.377 0.527
Te: 0.623 0.377 0.973
Se: 0.060 0.940 0.250
Se: 0.940 0.060 0.750


VASP calculation (PBE) on YErNCl2 after structural relaxation.

Total energy   -6.584 eV per atom
Crystal system   trigonal
Size of the total moment   0.0 μB per formula unit

Cell: 3.575 3.575 10.008 Å, 90.00 90.00 120.00°
Atoms (fractional coordinates):
Y: 0.000 0.000 0.000
Er: 0.667 0.333 0.742
N: 0.333 0.667 0.866
Cl: 0.000 0.000 0.567
Cl: 0.667 0.333 0.179


Let's list mass density in order: 2.9, 6.0, 5.2, 9.4, 6.1, 3.3, 5.0, 7.8, 8.4, 8.4, 10.4, 6.3, 10.7, 8.9, 7.6, 6.0, 15.5, 16.7, 6.7, 5.1 g/cm³.